Record 1
! PuGeBiO6, relaxed, DFT PBE-GGA; values from VASP
&SYSTEM
  ibrav = 0, nat = 18, ntyp = 4
/
ATOMIC_SPECIES
Pu 244.00 Pu.upf
Ge 72.64 Ge.upf
Bi 208.98 Bi.upf
O 16.00 O.upf
ATOMIC_POSITIONS crystal
Pu 0.3333 0.6667 0.2500
Pu 0.6667 0.3333 0.7500
Ge 0.6667 0.3333 0.2500
Ge 0.3333 0.6667 0.7500
Bi 0.0000 0.0000 0.0000
Bi 0.0000 0.0000 0.5000
O 0.6528 0.6244 0.1406
O 0.9716 0.3472 0.1406
O 0.3472 0.9716 0.6406
O 0.0284 0.6528 0.8594
O 0.3756 0.3472 0.3594
O 0.9716 0.6244 0.3594
O 0.6244 0.9716 0.8594
O 0.6528 0.0284 0.3594
O 0.0284 0.3756 0.6406
O 0.3756 0.0284 0.1406
O 0.6244 0.6528 0.6406
O 0.3472 0.3756 0.8594
CELL_PARAMETERS angstrom
-3.0178 2.8782 3.4424
4.2386 -2.8187 1.8252
5.8660 7.8830 -1.4484
! Space-group type: P-31c (163)

Record 2
! Rb2Ge2BiO6, relaxed, DFT PBE-GGA; values from VASP
&SYSTEM
  ibrav = 0, nat = 11, ntyp = 4
/
ATOMIC_SPECIES
Rb 85.47 Rb.upf
Ge 72.64 Ge.upf
Bi 208.98 Bi.upf
O 16.00 O.upf
ATOMIC_POSITIONS crystal
Rb 0.7144 0.4288 0.1427
Rb 0.2856 0.5712 0.8573
Ge 0.9297 0.8593 0.7894
Ge 0.0703 0.1407 0.2106
Bi 0.5000 0.0000 0.5000
O 0.7490 0.4979 0.7367
O 0.2517 0.0153 0.2656
O 0.2365 0.9847 0.7344
O 0.7483 0.9847 0.7344
O 0.7635 0.0153 0.2656
O 0.2510 0.5021 0.2633
CELL_PARAMETERS angstrom
6.1327 0.0000 0.0000
-3.0663 5.3040 -0.2203
0.0000 -3.2917 6.3718
! Space-group type: C2/m (12)

Record 3
! Rb2GeBiO4, relaxed, DFT PBE-GGA; values from VASP
&SYSTEM
  ibrav = 0, nat = 8, ntyp = 4
/
ATOMIC_SPECIES
Rb 85.47 Rb.upf
Ge 72.64 Ge.upf
Bi 208.98 Bi.upf
O 16.00 O.upf
ATOMIC_POSITIONS crystal
Rb 0.5000 0.7500 0.2500
Rb 0.0000 0.0000 0.0000
Ge 0.0000 0.5000 0.5000
Bi 0.5000 0.2500 0.7500
O 0.6963 0.4656 0.5223
O 0.0567 0.2307 0.5344
O 0.9433 0.4777 0.1740
O 0.3037 0.8260 0.7693
CELL_PARAMETERS angstrom
-3.9941 1.6902 4.0760
3.9833 -3.8589 2.1598
3.3667 4.5177 -1.9181
! Space-group type: I-4 (82)

Record 4
! GeBiRhO6, relaxed, DFT PBE-GGA; values from VASP
&SYSTEM
  ibrav = 0, nat = 18, ntyp = 4
/
ATOMIC_SPECIES
Ge 72.64 Ge.upf
Bi 208.98 Bi.upf
Rh 102.91 Rh.upf
O 16.00 O.upf
ATOMIC_POSITIONS crystal
Ge 0.6667 0.3333 0.2500
Ge 0.3333 0.6667 0.7500
Bi 0.0000 0.0000 0.0000
Bi 0.0000 0.0000 0.5000
Rh 0.3333 0.6667 0.2500
Rh 0.6667 0.3333 0.7500
O 0.6342 0.6254 0.1409
O 0.9913 0.3658 0.1409
O 0.3658 0.9913 0.6409
O 0.0087 0.6342 0.8591
O 0.3746 0.3658 0.3591
O 0.9913 0.6254 0.3591
O 0.6254 0.9913 0.8591
O 0.6342 0.0087 0.3591
O 0.0087 0.3746 0.6409
O 0.3746 0.0087 0.1409
O 0.6254 0.6342 0.6409
O 0.3658 0.3746 0.8591
CELL_PARAMETERS angstrom
-0.2620 -3.1454 4.0827
-2.0025 -1.4707 -4.5230
8.6239 -3.9901 -2.5207
! Space-group type: P-31c (163)

Record 5
! GeBiRuO2, relaxed, DFT PBE-GGA; values from VASP
&SYSTEM
  ibrav = 0, nat = 5, ntyp = 4
/
ATOMIC_SPECIES
Ru 101.07 Ru.upf
Ge 72.64 Ge.upf
Bi 208.98 Bi.upf
O 16.00 O.upf
ATOMIC_POSITIONS crystal
Ru 0.5000 0.5000 0.5000
Ge 0.0000 0.0000 0.0000
Bi 0.0000 0.5000 0.0000
O 0.0000 0.0000 0.5000
O 0.5000 0.0000 0.0000
CELL_PARAMETERS angstrom
-1.4666 -3.3358 -0.7560
5.6456 -1.6529 -3.6585
1.5813 -1.3907 3.0685
! Space-group type: P4/mmm (123)

Record 6
! SmGe2BiO8, relaxed, DFT PBE-GGA; values from VASP
&SYSTEM
  ibrav = 0, nat = 12, ntyp = 4
/
ATOMIC_SPECIES
Sm 150.36 Sm.upf
Ge 72.64 Ge.upf
Bi 208.98 Bi.upf
O 16.00 O.upf
ATOMIC_POSITIONS crystal
Sm 0.2500 0.7500 0.5000
Ge 0.7500 0.2500 0.5000
Ge 0.5000 0.5000 0.0000
Bi 0.0000 0.0000 0.0000
O 0.3801 0.0650 0.3151
O 0.3062 0.4830 0.1768
O 0.3062 0.1293 0.8232
O 0.7498 0.0650 0.6849
O 0.8707 0.6938 0.1768
O 0.9350 0.2502 0.3151
O 0.9350 0.6199 0.6849
O 0.5170 0.6938 0.8232
CELL_PARAMETERS angstrom
-5.8787 -0.7920 -0.9056
3.5740 -3.9866 -2.7092
0.9242 -0.5957 5.8989
! Space-group type: I-4m2 (119)

Record 7
! SmGeBiO5, relaxed, DFT PBE-GGA; values from VASP
&SYSTEM
  ibrav = 0, nat = 16, ntyp = 4
/
ATOMIC_SPECIES
Sm 150.36 Sm.upf
Ge 72.64 Ge.upf
Bi 208.98 Bi.upf
O 16.00 O.upf
ATOMIC_POSITIONS crystal
Sm 0.0000 0.0000 0.5000
Sm 0.0000 0.0000 0.0000
Ge 0.6819 0.3181 0.2500
Ge 0.3181 0.6819 0.7500
Bi 0.3338 0.6662 0.2500
Bi 0.6662 0.3338 0.7500
O 0.1175 0.8825 0.2500
O 0.8825 0.1175 0.7500
O 0.9392 0.3424 0.1535
O 0.0608 0.6576 0.8465
O 0.6576 0.0608 0.3465
O 0.3424 0.9392 0.6535
O 0.7315 0.5760 0.4266
O 0.2685 0.4240 0.5734
O 0.4240 0.2685 0.0734
O 0.5760 0.7315 0.9266
CELL_PARAMETERS angstrom
5.9587 -0.1593 0.0990
-1.8918 5.6526 0.0990
-1.5696 -2.1201 7.3590
! Space-group type: C2/c (15)

Record 8
! SnGeBiO2, relaxed, DFT PBE-GGA; values from VASP
&SYSTEM
  ibrav = 0, nat = 5, ntyp = 4
/
ATOMIC_SPECIES
Ge 72.64 Ge.upf
Bi 208.98 Bi.upf
O 16.00 O.upf
Sn 118.71 Sn.upf
ATOMIC_POSITIONS crystal
Ge 0.0000 0.0000 0.0000
Bi 0.0000 0.5000 0.0000
O 0.0000 0.0000 0.5000
O 0.5000 0.0000 0.0000
Sn 0.5000 0.5000 0.5000
CELL_PARAMETERS angstrom
-1.0279 -0.7759 -3.9179
4.4560 -3.2310 -0.5293
-2.2151 -3.2556 1.2259
! Space-group type: P4/mmm (123)

Record 9
! SrGeBiO6, relaxed, DFT PBE-GGA; values from VASP
&SYSTEM
  ibrav = 0, nat = 18, ntyp = 4
/
ATOMIC_SPECIES
Sr 87.62 Sr.upf
Ge 72.64 Ge.upf
Bi 208.98 Bi.upf
O 16.00 O.upf
ATOMIC_POSITIONS crystal
Sr 0.0000 0.0000 0.0000
Sr 0.0000 0.0000 0.5000
Ge 0.6667 0.3333 0.2500
Ge 0.3333 0.6667 0.7500
Bi 0.3333 0.6667 0.2500
Bi 0.6667 0.3333 0.7500
O 0.6438 0.6130 0.1468
O 0.9692 0.3562 0.1468
O 0.3562 0.9692 0.6468
O 0.0308 0.6438 0.8532
O 0.3870 0.3562 0.3532
O 0.9692 0.6130 0.3532
O 0.6130 0.9692 0.8532
O 0.6438 0.0308 0.3532
O 0.0308 0.3870 0.6468
O 0.3870 0.0308 0.1468
O 0.6130 0.6438 0.6468
O 0.3562 0.3870 0.8532
CELL_PARAMETERS angstrom
-5.3267 -0.5243 0.5451
2.3341 -1.0337 -4.7360
1.3171 -10.3560 2.9095
! Space-group type: P-31c (163)

Record 10
! TaGe2BiO8, relaxed, DFT PBE-GGA; values from VASP
&SYSTEM
  ibrav = 0, nat = 12, ntyp = 4
/
ATOMIC_SPECIES
Ta 180.95 Ta.upf
Ge 72.64 Ge.upf
Bi 208.98 Bi.upf
O 16.00 O.upf
ATOMIC_POSITIONS crystal
Ta 0.0000 0.0000 0.0000
Ge 0.3333 0.6667 0.7127
Ge 0.6667 0.3333 0.2873
Bi 0.0000 0.0000 0.5000
O 0.1596 0.3193 0.8107
O 0.1596 0.8404 0.8107
O 0.6807 0.8404 0.8107
O 0.3193 0.1596 0.1893
O 0.6667 0.3333 0.5434
O 0.3333 0.6667 0.4566
O 0.8404 0.6807 0.1893
O 0.8404 0.1596 0.1893
CELL_PARAMETERS angstrom
5.4823 0.0000 0.0000
-2.7411 4.7478 0.0000
0.0000 0.0000 6.6883
! Space-group type: P-3m1 (164)

Record 11
! GeBiTe2O, relaxed, DFT PBE-GGA; values from VASP
&SYSTEM
  ibrav = 0, nat = 5, ntyp = 4
/
ATOMIC_SPECIES
Ge 72.64 Ge.upf
Te 127.60 Te.upf
Bi 208.98 Bi.upf
O 16.00 O.upf
ATOMIC_POSITIONS crystal
Ge 0.5000 0.5000 0.5000
Te 0.0000 0.0000 0.5000
Te 0.5000 0.0000 0.0000
Bi 0.0000 0.0000 0.0000
O 0.0000 0.5000 0.0000
CELL_PARAMETERS angstrom
-3.8954 0.2123 -4.5157
2.9893 -1.3386 -2.6416
-1.5699 -5.6534 1.0884
! Space-group type: P4/mmm (123)

Record 12
! TiGeBiO5, relaxed, DFT PBE-GGA; values from VASP
&SYSTEM
  ibrav = 0, nat = 16, ntyp = 4
/
ATOMIC_SPECIES
Ti 47.87 Ti.upf
Ge 72.64 Ge.upf
Bi 208.98 Bi.upf
O 16.00 O.upf
ATOMIC_POSITIONS crystal
Ti 0.0000 0.0000 0.5000
Ti 0.0000 0.0000 0.0000
Ge 0.6764 0.3236 0.2500
Ge 0.3236 0.6764 0.7500
Bi 0.3186 0.6814 0.2500
Bi 0.6814 0.3186 0.7500
O 0.0641 0.9359 0.2500
O 0.9359 0.0641 0.7500
O 0.8885 0.3132 0.1030
O 0.1115 0.6868 0.8970
O 0.6868 0.1115 0.3970
O 0.3132 0.8885 0.6030
O 0.7424 0.6368 0.4110
O 0.2576 0.3632 0.5890
O 0.3632 0.2576 0.0890
O 0.6368 0.7424 0.9110
CELL_PARAMETERS angstrom
-4.7235 2.5989 -1.8738
-0.5124 -0.3577 5.6733
5.2469 5.0950 -0.9316
! Space-group type: C2/c (15)

Record 13
! TiGeBiO6, relaxed, DFT PBE-GGA; values from VASP
&SYSTEM
  ibrav = 0, nat = 18, ntyp = 4
/
ATOMIC_SPECIES
Ti 47.87 Ti.upf
Ge 72.64 Ge.upf
Bi 208.98 Bi.upf
O 16.00 O.upf
ATOMIC_POSITIONS crystal
Ti 0.3333 0.6667 0.2500
Ti 0.6667 0.3333 0.7500
Ge 0.6667 0.3333 0.2500
Ge 0.3333 0.6667 0.7500
Bi 0.0000 0.0000 0.0000
Bi 0.0000 0.0000 0.5000
O 0.6372 0.6290 0.1400
O 0.9918 0.3628 0.1400
O 0.3628 0.9918 0.6400
O 0.0082 0.6372 0.8600
O 0.3710 0.3628 0.3600
O 0.9918 0.6290 0.3600
O 0.6290 0.9918 0.8600
O 0.6372 0.0082 0.3600
O 0.0082 0.3710 0.6400
O 0.3710 0.0082 0.1400
O 0.6290 0.6372 0.6400
O 0.3628 0.3710 0.8600
CELL_PARAMETERS angstrom
5.1420 0.0000 0.0000
-2.5710 4.4531 0.0000
0.0000 0.0000 9.5090
! Space-group type: P-31c (163)

Record 14
! TiGe2BiO8, relaxed, DFT PBE-GGA; values from VASP
&SYSTEM
  ibrav = 0, nat = 12, ntyp = 4
/
ATOMIC_SPECIES
Ti 47.87 Ti.upf
Ge 72.64 Ge.upf
Bi 208.98 Bi.upf
O 16.00 O.upf
ATOMIC_POSITIONS crystal
Ti 0.2500 0.7500 0.5000
Ge 0.7500 0.2500 0.5000
Ge 0.5000 0.5000 0.0000
Bi 0.0000 0.0000 0.0000
O 0.3707 0.0446 0.3261
O 0.3167 0.5155 0.1988
O 0.3167 0.1179 0.8012
O 0.7184 0.0446 0.6739
O 0.8821 0.6833 0.1988
O 0.9554 0.2816 0.3261
O 0.9554 0.6293 0.6739
O 0.4845 0.6833 0.8012
CELL_PARAMETERS angstrom
-2.2339 3.4805 -4.0036
2.5592 -4.6284 -2.2718
-4.3013 -1.8245 3.3619
! Space-group type: I-4m2 (119)

Record 15
! TlGeBiO4, relaxed, DFT PBE-GGA; values from VASP
&SYSTEM
  ibrav = 0, nat = 14, ntyp = 4
/
ATOMIC_SPECIES
Tl 204.38 Tl.upf
Ge 72.64 Ge.upf
Bi 208.98 Bi.upf
O 16.00 O.upf
ATOMIC_POSITIONS crystal
Tl 0.6727 0.7500 0.9157
Tl 0.3273 0.2500 0.0843
Ge 0.2773 0.7500 0.3456
Ge 0.7227 0.2500 0.6544
Bi 0.7766 0.7500 0.4513
Bi 0.2234 0.2500 0.5487
O 0.9001 0.4856 0.6611
O 0.0999 0.9856 0.3389
O 0.0999 0.5144 0.3389
O 0.9001 0.0144 0.6611
O 0.4332 0.7500 0.1854
O 0.5668 0.2500 0.8146
O 0.4799 0.7500 0.5605
O 0.5201 0.2500 0.4395
CELL_PARAMETERS angstrom
6.3977 0.0000 0.2632
0.0000 5.9259 0.0000
-2.2281 0.0000 7.2458
! Space-group type: P2_1/m (11)

Record 16
! TlGeBiO5, relaxed, DFT PBE-GGA; values from VASP
&SYSTEM
  ibrav = 0, nat = 16, ntyp = 4
/
ATOMIC_SPECIES
Tl 204.38 Tl.upf
Ge 72.64 Ge.upf
Bi 208.98 Bi.upf
O 16.00 O.upf
ATOMIC_POSITIONS crystal
Tl 0.0000 0.0000 0.5000
Tl 0.0000 0.0000 0.0000
Ge 0.6710 0.3290 0.2500
Ge 0.3290 0.6710 0.7500
Bi 0.3258 0.6742 0.2500
Bi 0.6742 0.3258 0.7500
O 0.1053 0.8947 0.2500
O 0.8947 0.1053 0.7500
O 0.8980 0.3509 0.1224
O 0.1020 0.6491 0.8776
O 0.6491 0.1020 0.3776
O 0.3509 0.8980 0.6224
O 0.7285 0.5996 0.4441
O 0.2715 0.4004 0.5559
O 0.4004 0.2715 0.0559
O 0.5996 0.7285 0.9441
CELL_PARAMETERS angstrom
6.0682 -0.1343 0.0271
-1.8999 5.7647 0.0271
-1.6994 -2.2955 6.6400
! Space-group type: C2/c (15)

Record 17
! Tl2Ge2BiO6, relaxed, DFT PBE-GGA; values from VASP
&SYSTEM
  ibrav = 0, nat = 11, ntyp = 4
/
ATOMIC_SPECIES
Tl 204.38 Tl.upf
Ge 72.64 Ge.upf
Bi 208.98 Bi.upf
O 16.00 O.upf
ATOMIC_POSITIONS crystal
Tl 0.7081 0.4162 0.1681
Tl 0.2919 0.5838 0.8319
Ge 0.9473 0.8945 0.7882
Ge 0.0527 0.1055 0.2118
Bi 0.5000 0.0000 0.5000
O 0.7545 0.5091 0.6543
O 0.2107 0.9401 0.2386
O 0.2705 0.0599 0.7614
O 0.7893 0.0599 0.7614
O 0.7295 0.9401 0.2386
O 0.2455 0.4909 0.3457
CELL_PARAMETERS angstrom
6.1222 0.0000 0.0000
-3.0611 5.2797 -0.2813
0.0000 -3.3465 6.2775
! Space-group type: C2/m (12)

Record 18
! TlGe2BiO6, relaxed, DFT PBE-GGA; values from VASP
&SYSTEM
  ibrav = 0, nat = 20, ntyp = 4
/
ATOMIC_SPECIES
Tl 204.38 Tl.upf
Ge 72.64 Ge.upf
Bi 208.98 Bi.upf
O 16.00 O.upf
ATOMIC_POSITIONS crystal
Tl 0.2500 0.9060 0.0940
Tl 0.7500 0.0940 0.9060
Ge 0.2470 0.8170 0.6291
Ge 0.2530 0.3709 0.1830
Ge 0.7530 0.1830 0.3709
Ge 0.7470 0.6291 0.8170
Bi 0.2500 0.3006 0.6994
Bi 0.7500 0.6994 0.3006
O 0.1996 0.0245 0.7304
O 0.3004 0.2696 0.9755
O 0.8004 0.9755 0.2696
O 0.6996 0.7304 0.0245
O 0.3578 0.8157 0.4110
O 0.1422 0.5890 0.1843
O 0.6422 0.1843 0.5890
O 0.8578 0.4110 0.8157
O 0.9472 0.7364 0.6553
O 0.5528 0.3447 0.2636
O 0.0528 0.2636 0.3447
O 0.4472 0.6553 0.7364
CELL_PARAMETERS angstrom
-4.5625 3.0377 0.8399
-4.3994 -5.7348 2.7377
1.6703 2.1375 7.2374
! Space-group type: C2/c (15)

Record 19
! TmGe2BiO8, relaxed, DFT PBE-GGA; values from VASP
&SYSTEM
  ibrav = 0, nat = 12, ntyp = 4
/
ATOMIC_SPECIES
Tm 168.93 Tm.upf
Ge 72.64 Ge.upf
Bi 208.98 Bi.upf
O 16.00 O.upf
ATOMIC_POSITIONS crystal
Tm 0.2500 0.7500 0.5000
Ge 0.7500 0.2500 0.5000
Ge 0.5000 0.5000 0.0000
Bi 0.0000 0.0000 0.0000
O 0.3754 0.0582 0.3172
O 0.3072 0.4892 0.1821
O 0.3072 0.1251 0.8179
O 0.7410 0.0582 0.6828
O 0.8749 0.6928 0.1821
O 0.9418 0.2590 0.3172
O 0.9418 0.6246 0.6828
O 0.5108 0.6928 0.8179
CELL_PARAMETERS angstrom
-2.4051 -5.0931 -1.7429
2.6105 -0.2317 5.2815
-4.3710 3.9369 0.3963
! Space-group type: I-4m2 (119)

no.,ΔE_f (raw) (kcal/mol of atoms),E (eV/atom),total moment (μB per formula unit)
1,-43.32,-7.72,3.000
2,-33.98,-5.55,0.000
3,-32.48,-5.19,1.016
4,-25.73,-6.18,1.609
5,2.97,-5.41,1.047
6,-40.00,-6.53,0.000
7,-47.07,-6.79,0.000
8,-3.50,-4.64,0.000
9,-33.91,-5.91,1.048
10,-40.28,-7.13,0.000
11,4.92,-3.73,0.000
12,-44.00,-7.06,0.424
13,-42.59,-6.97,0.000
14,-38.51,-6.73,0.000
15,-29.62,-5.67,0.000
16,-27.02,-5.63,0.000
17,-25.95,-5.45,0.000
18,-30.85,-5.86,0.000
19,-41.15,-6.56,0.000